# ScBeNi | Alexandria via LeMat-Bulk | GGA-PBE | relaxed
data_ScBeNi
_chemical_formula_sum 'Sc4 Be4 Ni4'
_cell_length_a 5.896
_cell_length_b 5.896
_cell_length_c 5.896
_cell_angle_alpha 90.00
_cell_angle_beta 90.00
_cell_angle_gamma 90.00
_space_group_name_H-M_alt 'F -4 3 m'
_space_group_IT_number 216
_space_group_name_Hall 'F -4 2 3'
loop_
_atom_site_label
_atom_site_type_symbol
_atom_site_fract_x
_atom_site_fract_y
_atom_site_fract_z
Sc1 Sc 0.000 0.000 0.000
Be1 Be 0.250 0.250 0.750
Ni1 Ni 0.250 0.250 0.250
# Formation energy, eV per atom: 0.584
# Total magnetic moment, μB/cell: 0.0
# E, eV per atom: -4.70
# Excess energy over the best structure of this formula in the dataset, meV/atom: 955



# AlHg2S4 | Alexandria via LeMat-Bulk | GGA-PBE | relaxed
data_AlHg2S4
_chemical_formula_sum 'Al2 Hg4 S8'
_cell_length_a 4.905
_cell_length_b 4.905
_cell_length_c 12.742
_cell_angle_alpha 90.00
_cell_angle_beta 90.00
_cell_angle_gamma 90.00
_space_group_name_H-M_alt 'I 4/m m m'
_space_group_IT_number 139
_space_group_name_Hall '-I 4 2'
loop_
_atom_site_label
_atom_site_type_symbol
_atom_site_fract_x
_atom_site_fract_y
_atom_site_fract_z
Al1 Al 0.000 0.000 0.000
Hg1 Hg 0.000 0.000 0.377
S1 S 0.000 0.000 0.185
S2 S 0.000 0.500 0.000
# Uncorrected formation energy, kJ/mol of atoms: 10
# Total magnetic moment, μB/cell: 2.3
# E, eV per atom: -2.88



# Tb2Ho2Pd3 | Alexandria via LeMat-Bulk | GGA-PBE | relaxed
data_Tb2Ho2Pd3
_chemical_formula_sum 'Tb2 Ho2 Pd3'
_cell_length_a 4.939
_cell_length_b 4.943
_cell_length_c 7.762
_cell_angle_alpha 108.42
_cell_angle_beta 108.10
_cell_angle_gamma 90.08
_space_group_name_H-M_alt 'P -1'
_space_group_IT_number 2
_space_group_name_Hall '-P 1'
loop_
_atom_site_label
_atom_site_type_symbol
_atom_site_fract_x
_atom_site_fract_y
_atom_site_fract_z
Tb1 Tb 0.131 0.126 0.250
Ho1 Ho 0.370 0.373 0.749
Pd1 Pd 0.000 0.500 0.000
Pd2 Pd 0.253 0.757 0.513
# Formation energy, eV per atom: -0.710
# Total magnetic moment, μB/cell: 0.0
# E, eV per atom: -5.57



# K3Sr | Alexandria via LeMat-Bulk | GGA-PBE | relaxed
data_K3Sr
_chemical_formula_sum 'K3 Sr1'
_cell_length_a 6.462
_cell_length_b 6.462
_cell_length_c 6.462
_cell_angle_alpha 90.00
_cell_angle_beta 90.00
_cell_angle_gamma 90.00
_space_group_name_H-M_alt 'P m -3 m'
_space_group_IT_number 221
_space_group_name_Hall '-P 4 2 3'
loop_
_atom_site_label
_atom_site_type_symbol
_atom_site_fract_x
_atom_site_fract_y
_atom_site_fract_z
K1 K 0.000 0.000 0.500
Sr1 Sr 0.500 0.500 0.500
# Formation energy, eV per atom: 0.110
# Total magnetic moment, μB/cell: 0.0
# E, eV per atom: -1.13
# Excess energy over the best structure of this formula in the dataset, meV/atom: 52



# AcHoGa2Pd2 | Alexandria via LeMat-Bulk | GGA-PBE | relaxed
data_AcHoGa2Pd2
_chemical_formula_sum 'Ac1 Ho1 Ga2 Pd2'
_cell_length_a 4.5799
_cell_length_b 4.5799
_cell_length_c 7.3367
_cell_angle_alpha 90.00
_cell_angle_beta 90.00
_cell_angle_gamma 120.00
_space_group_name_H-M_alt 'P -3 m 1'
_space_group_IT_number 164
_space_group_name_Hall '-P 3 2"'
loop_
_atom_site_label
_atom_site_type_symbol
_atom_site_fract_x
_atom_site_fract_y
_atom_site_fract_z
Ac1 Ac 0.0000 0.0000 0.0000
Ho1 Ho 0.0000 0.0000 0.5000
Ga1 Ga 0.3333 0.6667 0.2968
Pd1 Pd 0.3333 0.6667 0.7066
# Formation energy, eV per atom: -0.834
# Total magnetic moment, μB/cell: 0.0
# E, eV per atom: -5.02



# AlAsPt4 | Alexandria via LeMat-Bulk | GGA-PBE | relaxed
data_AlAsPt4
_chemical_formula_sum 'Al4 As4 Pt16'
_cell_length_a 7.472
_cell_length_b 7.472
_cell_length_c 7.472
_cell_angle_alpha 90.00
_cell_angle_beta 90.00
_cell_angle_gamma 90.00
_space_group_name_H-M_alt 'F -4 3 m'
_space_group_IT_number 216
_space_group_name_Hall 'F -4 2 3'
loop_
_atom_site_label
_atom_site_type_symbol
_atom_site_fract_x
_atom_site_fract_y
_atom_site_fract_z
Al1 Al 0.000 0.000 0.000
As1 As 0.250 0.250 0.250
Pt1 Pt 0.125 0.125 0.625
# Formation energy, eV per atom: 0.032
# Total magnetic moment, μB/cell: 0.0
# E, eV per atom: -5.39